# Ba2Tl3Au2 (PBE, optimized geometry)
# Density ... 9546 kg/m³
# Electronic total energy ... -2.954 eV per atom
# N(E_F) ... 3.3 states/eV per cell
data_Ba2Tl3Au2
_chemical_formula_sum 'Ba2 Tl3 Au2'
_cell_length_a 6.335
_cell_length_b 6.335
_cell_length_c 8.325
_cell_angle_alpha 97.31
_cell_angle_beta 97.31
_cell_angle_gamma 42.34
_symmetry_space_group_name_H-M 'P 1'
_symmetry_Int_Tables_number 1
_symmetry_space_group_name_Hall 'P 1'
loop_
_atom_site_label
_atom_site_fract_x
_atom_site_fract_y
_atom_site_fract_z
Ba1 0.118 0.118 0.334
Ba2 0.882 0.882 0.666
Tl1 0.192 0.192 0.866
Tl2 0.500 0.500 0.000
Tl3 0.808 0.808 0.134
Au1 0.408 0.408 0.360
Au2 0.592 0.592 0.640

---

# BaTlAu (PBE, optimized geometry)
# Density ... 9175 kg/m³
# Electronic total energy ... -3.051 eV per atom
# N(E_F) ... 1.3 states/eV per cell
data_BaTlAu
_chemical_formula_sum 'Ba1 Tl1 Au1'
_cell_length_a 5.085
_cell_length_b 5.085
_cell_length_c 4.354
_cell_angle_alpha 90.00
_cell_angle_beta 90.00
_cell_angle_gamma 120.00
_symmetry_space_group_name_H-M 'P 1'
_symmetry_Int_Tables_number 1
_symmetry_space_group_name_Hall 'P 1'
loop_
_atom_site_label
_atom_site_fract_x
_atom_site_fract_y
_atom_site_fract_z
Ba1 0.000 0.000 0.000
Tl1 0.333 0.667 0.500
Au1 0.667 0.333 0.500

---

# Ba2TlAu (PBE, optimized geometry)
# Density ... 7726 kg/m³
# Energy relative to the lowest polymorph listed for this composition ... 0.020 eV/atom
# N(E_F) ... 2.9 states/eV per cell
data_Ba2TlAu
_chemical_formula_sum 'Ba2 Tl1 Au1'
_cell_length_a 4.068
_cell_length_b 5.978
_cell_length_c 5.976
_cell_angle_alpha 90.00
_cell_angle_beta 90.03
_cell_angle_gamma 90.00
_symmetry_space_group_name_H-M 'P 1'
_symmetry_Int_Tables_number 1
_symmetry_space_group_name_Hall 'P 1'
loop_
_atom_site_label
_atom_site_fract_x
_atom_site_fract_y
_atom_site_fract_z
Ba1 0.000 0.000 0.000
Ba2 0.000 0.500 0.499
Tl1 0.500 0.500 0.999
Au1 0.501 0.000 0.501

---

# BaTlAu4 (PBE, optimized geometry)
# Density ... 13188 kg/m³
# Energy relative to the lowest polymorph listed for this composition ... 0.000 eV/atom
# N(E_F) ... 6.9 states/eV per cell
data_BaTlAu4
_chemical_formula_sum 'Ba1 Tl1 Au4'
_cell_length_a 5.859
_cell_length_b 5.859
_cell_length_c 5.859
_cell_angle_alpha 60.00
_cell_angle_beta 60.00
_cell_angle_gamma 60.00
_symmetry_space_group_name_H-M 'P 1'
_symmetry_Int_Tables_number 1
_symmetry_space_group_name_Hall 'P 1'
loop_
_atom_site_label
_atom_site_fract_x
_atom_site_fract_y
_atom_site_fract_z
Ba1 0.000 0.000 0.000
Tl1 0.750 0.750 0.750
Au1 0.376 0.376 0.376
Au2 0.376 0.376 0.873
Au3 0.376 0.873 0.376
Au4 0.873 0.376 0.376

---

# Ba3TlAu (PBE, optimized geometry)
# Density ... 6026 kg/m³
# Energy relative to the lowest polymorph listed for this composition ... 0.093 eV/atom
# N(E_F) ... 10.6 states/eV per cell
data_Ba3TlAu
_chemical_formula_sum 'Ba6 Tl2 Au2'
_cell_length_a 6.037
_cell_length_b 8.359
_cell_length_c 8.894
_cell_angle_alpha 86.97
_cell_angle_beta 89.97
_cell_angle_gamma 89.96
_symmetry_space_group_name_H-M 'P 1'
_symmetry_Int_Tables_number 1
_symmetry_space_group_name_Hall 'P 1'
loop_
_atom_site_label
_atom_site_fract_x
_atom_site_fract_y
_atom_site_fract_z
Ba1 0.000 0.000 0.000
Ba2 0.000 0.145 0.458
Ba3 0.000 0.452 0.821
Ba4 0.000 0.644 0.354
Ba5 0.500 0.350 0.165
Ba6 0.500 0.858 0.689
Tl1 0.500 0.421 0.555
Tl2 0.500 0.903 0.236
Au1 0.001 0.814 0.676
Au2 0.501 0.215 0.832

---

# BaTlAu3 (PBE, optimized geometry)
# Density ... 11151 kg/m³
# Energy relative to the lowest polymorph listed for this composition ... 0.000 eV/atom
# N(E_F) ... 2.1 states/eV per cell
data_BaTlAu3
_chemical_formula_sum 'Ba2 Tl2 Au6'
_cell_length_a 13.918
_cell_length_b 13.918
_cell_length_c 4.775
_cell_angle_alpha 90.00
_cell_angle_beta 90.00
_cell_angle_gamma 162.53
_symmetry_space_group_name_H-M 'P 1'
_symmetry_Int_Tables_number 1
_symmetry_space_group_name_Hall 'P 1'
loop_
_atom_site_label
_atom_site_fract_x
_atom_site_fract_y
_atom_site_fract_z
Ba1 0.079 0.921 0.750
Ba2 0.921 0.079 0.250
Tl1 0.208 0.792 0.250
Tl2 0.792 0.208 0.750
Au1 0.314 0.686 0.250
Au2 0.371 0.629 0.750
Au3 0.473 0.527 0.750
Au4 0.527 0.473 0.250
Au5 0.629 0.371 0.250
Au6 0.686 0.314 0.750

---

# Ba2TlAu (PBE, optimized geometry)
# Density ... 6674 kg/m³
# Energy relative to the lowest polymorph listed for this composition ... 0.089 eV/atom
# N(E_F) ... 3.0 states/eV per cell
data_Ba2TlAu
_chemical_formula_sum 'Ba2 Tl1 Au1'
_cell_length_a 9.444
_cell_length_b 9.444
_cell_length_c 9.444
_cell_angle_alpha 28.38
_cell_angle_beta 28.38
_cell_angle_gamma 28.38
_symmetry_space_group_name_H-M 'P 1'
_symmetry_Int_Tables_number 1
_symmetry_space_group_name_Hall 'P 1'
loop_
_atom_site_label
_atom_site_fract_x
_atom_site_fract_y
_atom_site_fract_z
Ba1 0.000 0.000 0.000
Ba2 0.187 0.187 0.187
Tl1 0.426 0.426 0.426
Au1 0.593 0.593 0.593

---

# Ba12Tl3Au5 (PBE, optimized geometry)
# Density ... 5412 kg/m³
# Electronic total energy ... -2.685 eV per atom
# N(E_F) ... 75.3 states/eV per cell
data_Ba12Tl3Au5
_chemical_formula_sum 'Ba48 Tl12 Au20'
_cell_length_a 17.297
_cell_length_b 17.297
_cell_length_c 17.297
_cell_angle_alpha 109.47
_cell_angle_beta 109.47
_cell_angle_gamma 109.47
_symmetry_space_group_name_H-M 'P 1'
_symmetry_Int_Tables_number 1
_symmetry_space_group_name_Hall 'P 1'
loop_
_atom_site_label
_atom_site_fract_x
_atom_site_fract_y
_atom_site_fract_z
Ba1 0.044 0.218 0.129
Ba2 0.044 0.326 0.915
Ba3 0.085 0.629 0.411
Ba4 0.085 0.956 0.674
Ba5 0.089 0.718 0.674
Ba6 0.089 0.871 0.415
Ba7 0.129 0.044 0.218
Ba8 0.129 0.585 0.911
Ba9 0.174 0.218 0.589
Ba10 0.174 0.456 0.585
Ba11 0.218 0.129 0.044
Ba12 0.218 0.589 0.174
Ba13 0.282 0.326 0.911
Ba14 0.282 0.456 0.371
Ba15 0.326 0.911 0.282
Ba16 0.326 0.915 0.044
Ba17 0.371 0.282 0.456
Ba18 0.371 0.589 0.915
Ba19 0.411 0.085 0.629
Ba20 0.411 0.826 0.782
Ba21 0.415 0.089 0.871
Ba22 0.415 0.826 0.544
Ba23 0.456 0.371 0.282
Ba24 0.456 0.585 0.174
Ba25 0.544 0.415 0.826
Ba26 0.544 0.629 0.718
Ba27 0.585 0.174 0.456
Ba28 0.585 0.911 0.129
Ba29 0.589 0.174 0.218
Ba30 0.589 0.915 0.371
Ba31 0.629 0.411 0.085
Ba32 0.629 0.718 0.544
Ba33 0.674 0.085 0.956
Ba34 0.674 0.089 0.718
Ba35 0.718 0.544 0.629
Ba36 0.718 0.674 0.089
Ba37 0.782 0.411 0.826
Ba38 0.782 0.871 0.956
Ba39 0.826 0.544 0.415
Ba40 0.826 0.782 0.411
Ba41 0.871 0.415 0.089
Ba42 0.871 0.956 0.782
Ba43 0.911 0.129 0.585
Ba44 0.911 0.282 0.326
Ba45 0.915 0.044 0.326
Ba46 0.915 0.371 0.589
Ba47 0.956 0.674 0.085
Ba48 0.956 0.782 0.871
Tl1 0.125 0.250 0.375
Tl2 0.125 0.375 0.750
Tl3 0.250 0.375 0.125
Tl4 0.250 0.875 0.625
Tl5 0.375 0.125 0.250
Tl6 0.375 0.750 0.125
Tl7 0.625 0.250 0.875
Tl8 0.625 0.875 0.750
Tl9 0.750 0.125 0.375
Tl10 0.750 0.625 0.875
Tl11 0.875 0.625 0.250
Tl12 0.875 0.750 0.625
Au1 0.000 0.000 0.000
Au2 0.000 0.000 0.500
Au3 0.000 0.500 0.000
Au4 0.000 0.500 0.500
Au5 0.125 0.750 0.875
Au6 0.125 0.875 0.250
Au7 0.250 0.125 0.875
Au8 0.250 0.625 0.375
Au9 0.375 0.250 0.625
Au10 0.375 0.625 0.750
Au11 0.500 0.000 0.000
Au12 0.500 0.000 0.500
Au13 0.500 0.500 0.000
Au14 0.500 0.500 0.500
Au15 0.625 0.375 0.250
Au16 0.625 0.750 0.375
Au17 0.750 0.375 0.625
Au18 0.750 0.875 0.125
Au19 0.875 0.125 0.750
Au20 0.875 0.250 0.125

---

# BaTlAu3 (PBE, optimized geometry)
# Density ... 6582 kg/m³
# Energy relative to the lowest polymorph listed for this composition ... 0.691 eV/atom
# N(E_F) ... 0.0 states/eV per cell
data_BaTlAu3
_chemical_formula_sum 'Ba1 Tl1 Au3'
_cell_length_a 6.174
_cell_length_b 6.174
_cell_length_c 6.174
_cell_angle_alpha 90.00
_cell_angle_beta 90.00
_cell_angle_gamma 90.00
_symmetry_space_group_name_H-M 'P 1'
_symmetry_Int_Tables_number 1
_symmetry_space_group_name_Hall 'P 1'
loop_
_atom_site_label
_atom_site_fract_x
_atom_site_fract_y
_atom_site_fract_z
Ba1 0.000 0.000 0.000
Tl1 0.500 0.500 0.500
Au1 0.000 0.000 0.500
Au2 0.000 0.500 0.000
Au3 0.500 0.000 0.000

---

# BaTl3Au (PBE, optimized geometry)
# Density ... 5623 kg/m³
# Electronic total energy ... -1.615 eV per atom
# N(E_F) ... 8.9 states/eV per cell
data_BaTl3Au
_chemical_formula_sum 'Ba1 Tl3 Au1'
_cell_length_a 6.541
_cell_length_b 6.541
_cell_length_c 6.541
_cell_angle_alpha 90.00
_cell_angle_beta 90.00
_cell_angle_gamma 90.00
_symmetry_space_group_name_H-M 'P 1'
_symmetry_Int_Tables_number 1
_symmetry_space_group_name_Hall 'P 1'
loop_
_atom_site_label
_atom_site_fract_x
_atom_site_fract_y
_atom_site_fract_z
Ba1 0.000 0.000 0.000
Tl1 0.000 0.000 0.500
Tl2 0.000 0.500 0.000
Tl3 0.500 0.000 0.000
Au1 0.500 0.500 0.500

---

# Ba2TlAu (PBE, optimized geometry)
# Density ... 8843 kg/m³
# Energy relative to the lowest polymorph listed for this composition ... 0.221 eV/atom
# N(E_F) ... 1.2 states/eV per cell
data_Ba2TlAu
_chemical_formula_sum 'Ba2 Tl1 Au1'
_cell_length_a 5.641
_cell_length_b 5.641
_cell_length_c 5.641
_cell_angle_alpha 60.00
_cell_angle_beta 60.00
_cell_angle_gamma 60.00
_symmetry_space_group_name_H-M 'P 1'
_symmetry_Int_Tables_number 1
_symmetry_space_group_name_Hall 'P 1'
loop_
_atom_site_label
_atom_site_fract_x
_atom_site_fract_y
_atom_site_fract_z
Ba1 0.000 0.000 0.000
Ba2 0.250 0.250 0.250
Tl1 0.500 0.500 0.500
Au1 0.750 0.750 0.750